# Pm12ErPb6

A geometry-optimized Pm12ErPb6 structure (PBE, the Alexandria database).

Cell and atoms, written as extended XYZ:
```
19
Lattice="8.366 0.741 0.888 -0.535 8.382 0.888 -0.535 -0.624 8.406" Properties=species:S:1:pos:R:3 pbc="T T T"
Pm 6.254 4.734 4.890
Pm 2.971 6.783 5.531
Pm 3.731 3.578 7.663
Pm 1.041 3.766 5.293
Pm 4.324 1.716 4.651
Pm 3.565 4.922 2.520
Pm 0.449 0.878 3.484
Pm 6.495 5.175 8.993
Pm 4.131 7.560 8.696
Pm 6.847 7.621 6.699
Pm 0.800 3.324 1.190
Pm 3.165 0.939 1.487
Er 0.000 0.000 0.000
Pb 5.383 7.636 3.460
Pb 6.095 2.870 2.051
Pb 0.564 6.253 3.190
Pb 1.913 0.864 6.722
Pb 1.201 5.630 8.132
Pb 6.732 2.247 6.992
```

Calculated values
size of the total moment = 0.00 μB/cell
raw total energy = -4.684 eV per atom
formation enthalpy at 0 K = -272.5 meV per atom